This record from the Alexandria database describes CoW2Br at its PBEsol-relaxed geometry. The functional is SCAN.

a b c (Å): 3.164 3.071 6.938
angles (deg): 90.00 91.65 90.00
Space group Pm (No. 6)
Inequivalent atoms, fractional coordinates:
Co  0.000  0.000  0.000 (multiplicity 1)
W  0.004  0.000  0.613 (multiplicity 1)
W  0.490  0.500  0.833 (multiplicity 1)
Br  0.958  0.500  0.304 (multiplicity 1)

Formation energy (no corrections) ... 0.64 eV/atom
Total magnetization ... 0.0 Bohr magnetons per cell
Total DFT energy (no corrections) ... -173.6 eV/f.u.
Energy above the lowest structure with this stoichiometry ... 0 meV per atom

---

This record from the Alexandria database describes Y2CoBr at its PBEsol-relaxed geometry. The functional is SCAN.

a b c (Å): 10.696 3.460 4.518
angles (deg): 90.00 96.63 90.00
Space group Cm (No. 8)
Inequivalent atoms, fractional coordinates:
Y  0.000  0.000  0.000 (multiplicity 2)
Y  0.219  0.500  0.559 (multiplicity 2)
Co  0.470  0.000  0.498 (multiplicity 2)
Br  0.277  0.000  0.081 (multiplicity 2)

Formation energy (no corrections) ... -0.43 eV/atom
Total magnetization ... 1.5 Bohr magnetons per cell
Total DFT energy (no corrections) ... -94.2 eV/f.u.
Energy above the lowest structure with this stoichiometry ... 320 meV per atom

---

This record from the Alexandria database describes YCoBr4 at its PBEsol-relaxed geometry. The functional is SCAN.

a b c (Å): 8.487 8.487 8.487
angles (deg): 90.00 90.00 90.00
Space group F-43m (No. 216)
Inequivalent atoms, fractional coordinates:
Y  0.000  0.000  0.000 (multiplicity 4)
Co  0.250  0.250  0.750 (multiplicity 4)
Br  0.125  0.125  0.375 (multiplicity 16)

Formation energy (no corrections) ... 0.36 eV/atom
Total magnetization ... 3.8 Bohr magnetons per cell
Total DFT energy (no corrections) ... -120.8 eV/f.u.

---

This record from the Alexandria database describes Y2CoBr at its PBEsol-relaxed geometry. The functional is SCAN.

a b c (Å): 3.906 3.906 10.994
angles (deg): 90.00 90.00 90.00
Space group I-4m2 (No. 119)
Inequivalent atoms, fractional coordinates:
Y  0.000  0.000  0.000 (multiplicity 2)
Y  0.000  0.500  0.250 (multiplicity 2)
Co  0.000  0.500  0.750 (multiplicity 2)
Br  0.000  0.000  0.500 (multiplicity 2)

Formation energy (no corrections) ... -0.09 eV/atom
Total magnetization ... 0.0 Bohr magnetons per cell
Total DFT energy (no corrections) ... -92.8 eV/f.u.
Energy above the lowest structure with this stoichiometry ... 670 meV per atom